Entry 1:
Here is Zn2Ga5Rh3 after structural relaxation from Alexandria. Energies are from PBE-GGA.

DFT formation energy, eV/atom: -0.396

a = 5.2554 Å, b = 8.0949 Å, c = 8.0944 Å
α = 104.93°, β = 99.96°, γ = 99.95°
Closest atoms and distances in Å follow each position.
Positions (direct):
Rh 0.5389 0.4672 0.7784  5 Ga 2.45-2.71, 2 Zn 2.58-2.68
Zn 0.4427 0.1496 0.5763  3 Rh 2.58-2.79, 1 Zn 2.64, 2 Ga 2.81-2.87
Rh 0.2500 0.9836 0.0164  8 Ga 2.47-2.68, 2 Rh 2.66
Rh 0.0389 0.7784 0.4672  5 Ga 2.45-2.71, 2 Zn 2.58-2.68
Ga 0.6120 0.1652 0.2689  3 Rh 2.45-2.60
Ga 0.4695 0.7320 0.0342  4 Rh 2.48-2.69, 1 Ga 2.78
Rh 0.9611 0.2216 0.5328  5 Ga 2.45-2.71, 2 Zn 2.58-2.68
Ga 0.7500 0.4982 0.5018  4 Rh 2.61-2.71, 4 Ga 2.63-2.75
Zn 0.9427 0.5763 0.1495  3 Rh 2.58-2.79, 1 Zn 2.64, 2 Ga 2.81-2.87
Ga 0.0305 0.9658 0.2680  4 Rh 2.48-2.69, 1 Ga 2.78
Ga 0.5305 0.2680 0.9658  4 Rh 2.48-2.69, 1 Ga 2.78
Ga 0.9695 0.0342 0.7320  4 Rh 2.48-2.69, 1 Ga 2.78
Ga 0.8880 0.7311 0.8348  3 Rh 2.45-2.60
Zn 0.0573 0.4237 0.8505  3 Rh 2.58-2.79, 1 Zn 2.64, 2 Ga 2.81-2.87
Ga 0.3880 0.8348 0.7311  3 Rh 2.45-2.60
Rh 0.4611 0.5328 0.2216  5 Ga 2.45-2.71, 2 Zn 2.58-2.68
Ga 0.1120 0.2689 0.1652  3 Rh 2.45-2.60
Rh 0.7500 0.0164 0.9836  8 Ga 2.47-2.68, 2 Rh 2.66
Ga 0.2500 0.5018 0.4982  4 Rh 2.61-2.71, 4 Ga 2.63-2.75
Zn 0.5573 0.8504 0.4237  3 Rh 2.58-2.79, 1 Zn 2.64, 2 Ga 2.81-2.87

=====

Entry 2:
Here is Zn4GaRh after structural relaxation from Alexandria. Energies are from PBE-GGA.

DFT formation energy, eV/atom: -0.133

a = 4.4999 Å, b = 7.1932 Å, c = 8.6121 Å
α = 138.55°, β = 90.00°, γ = 90.00°
Closest atoms and distances in Å follow each position.
Positions (direct):
Ga 0.4819 0.2500 0.7500  6 Zn 2.62-2.70, 2 Ga 2.88
Zn 0.0123 0.9715 0.2852  5 Zn 2.59-2.88, 2 Rh 2.61-2.71, 2 Ga 2.62-2.66
Rh 0.0000 0.0000 0.0000  8 Zn 2.61-2.71, 2 Rh 2.87
Zn 0.5049 0.2329 0.3886  6 Zn 2.58-2.87, 2 Rh 2.61-2.65, 1 Ga 2.70
Zn 0.5049 0.2671 0.1114  6 Zn 2.58-2.87, 2 Rh 2.61-2.65, 1 Ga 2.70
Zn 0.9877 0.0285 0.7148  5 Zn 2.59-2.88, 2 Rh 2.61-2.71, 2 Ga 2.62-2.66
Ga 0.5181 0.7500 0.2500  6 Zn 2.62-2.70, 2 Ga 2.88
Zn 0.4951 0.7671 0.6114  6 Zn 2.58-2.87, 2 Rh 2.61-2.65, 1 Ga 2.70
Zn 0.0123 0.5285 0.2148  5 Zn 2.59-2.88, 2 Rh 2.61-2.71, 2 Ga 2.62-2.66
Zn 0.9877 0.4715 0.7852  5 Zn 2.59-2.88, 2 Rh 2.61-2.71, 2 Ga 2.62-2.66
Zn 0.4951 0.7329 0.8886  6 Zn 2.58-2.87, 2 Rh 2.61-2.65, 1 Ga 2.70
Rh 0.0000 0.5000 0.5000  8 Zn 2.61-2.71, 2 Rh 2.87

=====

Entry 3:
Here is Zn2GaRh2 after structural relaxation from Alexandria. Energies are from PBE-GGA.

DFT formation energy, eV/atom: -0.251

a = 6.9915 Å, b = 6.9915 Å, c = 2.9951 Å
α = 90.00°, β = 90.00°, γ = 90.00°
Closest atoms and distances in Å follow each position.
Positions (direct):
Ga 0.0000 0.0000 0.0000  4 Zn 2.76, 8 Rh 2.99, 2 Ga 3.00
Zn 0.1253 0.3747 0.0000  1 Zn 2.48, 6 Rh 2.49-2.59, 2 Ga 2.76
Rh 0.1734 0.6734 0.5000  6 Zn 2.49-2.59
Zn 0.8747 0.6253 0.0000  1 Zn 2.48, 6 Rh 2.49-2.59, 2 Ga 2.76
Ga 0.5000 0.5000 0.0000  4 Zn 2.76, 8 Rh 2.99, 2 Ga 3.00
Rh 0.6734 0.8266 0.5000  6 Zn 2.49-2.59
Rh 0.3266 0.1734 0.5000  6 Zn 2.49-2.59
Zn 0.6253 0.1253 0.0000  1 Zn 2.48, 6 Rh 2.49-2.59, 2 Ga 2.76
Rh 0.8266 0.3266 0.5000  6 Zn 2.49-2.59
Zn 0.3747 0.8747 0.0000  1 Zn 2.48, 6 Rh 2.49-2.59, 2 Ga 2.76

=====

Look up the DFT formation energy of the first one. -0.396 eV/atom

=====

Which formula does entry 1 have? Zn2Ga5Rh3

=====

What is the DFT formation energy in the second record? -0.133 eV/atom